[1]
# LiOs2Rh

A geometry-optimized LiOs2Rh structure (PBE, the Alexandria database).

Cell and atoms, written as CIF:
```
data_LiOs2Rh
_cell_length_a 8.8297
_cell_length_b 2.6771
_cell_length_c 4.7485
_cell_angle_alpha 90.00
_cell_angle_beta 98.78
_cell_angle_gamma 90.00
_space_group_name_H-M_alt 'C 1 m 1'
_space_group_IT_number 8
loop_
_space_group_symop_operation_xyz
'x,y,z'
'x,-y,z'
'x+1/2,y+1/2,z'
'x+1/2,-y+1/2,z'
loop_
_atom_site_label
_atom_site_fract_x
_atom_site_fract_y
_atom_site_fract_z
_atom_site_occupancy
Li1 0.0000 0.0000 0.0000 1
Os1 0.0111 0.5000 0.4946 1
Os2 0.2618 0.5000 0.3019 1
Rh1 0.2456 0.0000 0.8154 1
```

## Properties
The calculation puts the total energy at -7.806 eV per atom. For the energy above the lowest structure with this stoichiometry, the calculation gives 10.6 meV per atom.


[2]
# Li2OsRh

A geometry-optimized Li2OsRh structure (PBE, the Alexandria database).

Cell and atoms, written as CIF:
```
data_Li2OsRh
_cell_length_a 6.6797
_cell_length_b 6.6797
_cell_length_c 4.9143
_cell_angle_alpha 90.00
_cell_angle_beta 90.00
_cell_angle_gamma 90.00
_space_group_name_H-M_alt 'I -4 2 d'
_space_group_IT_number 122
_space_group_name_Hall 'I -4 2bw'
loop_
_atom_site_label
_atom_site_fract_x
_atom_site_fract_y
_atom_site_fract_z
_atom_site_occupancy
Li1 0.2416 0.2500 0.1250 1
Os1 0.0000 0.0000 0.5000 1
Rh1 0.0000 0.0000 0.0000 1
```

## Properties
The calculation puts the total energy at -4.929 eV per atom. For the energy above the lowest structure with this stoichiometry, the calculation gives 704.6 meV per atom.


Q: What is the energy above the lowest structure with this stoichiometry in the first record?
A: 10.6 meV per atom


Q: Look up the energy above the lowest structure with this stoichiometry of the first one.
A: 10.6 meV per atom